(1)
# NdTl2I5 (PBE, relaxed)
data_NdTl2I5
_chemical_formula_sum 'Nd4 Tl8 I20'
_cell_length_a 9.251
_cell_length_b 9.821
_cell_length_c 14.401
_cell_angle_alpha 90.00
_cell_angle_beta 90.00
_cell_angle_gamma 90.00
_space_group_name_H-M_alt 'P 1'
_space_group_IT_number 1
loop_
_space_group_symop_operation_xyz
'x,y,z'
loop_
_atom_site_label
_atom_site_type_symbol
_atom_site_fract_x
_atom_site_fract_y
_atom_site_fract_z
Tl1 Tl 0.559 0.999 0.176
Tl2 Tl 0.941 0.501 0.676
Tl3 Tl 0.941 0.999 0.676
Tl4 Tl 0.441 0.499 0.824
Tl5 Tl 0.559 0.501 0.176
Tl6 Tl 0.059 0.499 0.324
Tl7 Tl 0.441 0.001 0.824
Tl8 Tl 0.059 0.001 0.324
I1 I 0.123 0.750 0.815
I2 I 0.840 0.750 0.209
I3 I 0.340 0.250 0.291
I4 I 0.431 0.250 0.006
I5 I 0.831 0.046 0.924
I6 I 0.669 0.454 0.424
I7 I 0.831 0.454 0.924
I8 I 0.569 0.750 0.994
I9 I 0.660 0.750 0.709
I10 I 0.169 0.546 0.076
I11 I 0.331 0.954 0.576
I12 I 0.331 0.546 0.576
I13 I 0.623 0.250 0.685
I14 I 0.877 0.250 0.185
I15 I 0.069 0.250 0.506
I16 I 0.169 0.954 0.076
I17 I 0.377 0.750 0.315
I18 I 0.160 0.250 0.791
I19 I 0.931 0.750 0.494
I20 I 0.669 0.046 0.424
Nd1 Nd 0.582 0.750 0.495
Nd2 Nd 0.418 0.250 0.505
Nd3 Nd 0.918 0.750 0.995
Nd4 Nd 0.082 0.250 0.005
# DFT total energy in Ry/atom: -0.2354
# Space-group type: No. 62
# Formation energy (no corrections) in eV per atom: -1.05
# Size of the total moment in μB/f.u.: 0.00


(2)
# Nd3TlI3 (PBE, relaxed)
data_Nd3TlI3
_chemical_formula_sum 'Nd12 Tl4 I12'
_cell_length_a 11.074
_cell_length_b 11.074
_cell_length_c 11.074
_cell_angle_alpha 109.47
_cell_angle_beta 109.47
_cell_angle_gamma 109.47
_space_group_name_H-M_alt 'P 1'
_space_group_IT_number 1
loop_
_space_group_symop_operation_xyz
'x,y,z'
loop_
_atom_site_label
_atom_site_type_symbol
_atom_site_fract_x
_atom_site_fract_y
_atom_site_fract_z
Tl1 Tl 0.250 0.250 0.250
Tl2 Tl 0.500 0.000 0.250
Tl3 Tl 0.000 0.250 0.500
Tl4 Tl 0.250 0.500 0.000
I1 I 0.250 0.994 0.506
I2 I 0.744 0.994 0.988
I3 I 0.988 0.744 0.994
I4 I 0.250 0.756 0.744
I5 I 0.506 0.756 0.512
I6 I 0.512 0.506 0.756
I7 I 0.756 0.744 0.250
I8 I 0.756 0.512 0.506
I9 I 0.994 0.506 0.250
I10 I 0.994 0.988 0.744
I11 I 0.744 0.250 0.756
I12 I 0.506 0.250 0.994
Nd1 Nd 0.750 0.009 0.491
Nd2 Nd 0.018 0.259 0.009
Nd3 Nd 0.259 0.750 0.241
Nd4 Nd 0.482 0.491 0.241
Nd5 Nd 0.009 0.018 0.259
Nd6 Nd 0.241 0.482 0.491
Nd7 Nd 0.259 0.009 0.018
Nd8 Nd 0.241 0.259 0.750
Nd9 Nd 0.009 0.491 0.750
Nd10 Nd 0.491 0.750 0.009
Nd11 Nd 0.491 0.241 0.482
Nd12 Nd 0.750 0.241 0.259
# DFT total energy in Ry/atom: -0.2953
# Space-group type: No. 214
# Formation energy (no corrections) in eV per atom: -0.97
# Size of the total moment in μB/f.u.: 0.00


(3)
# NdTlI4 (PBE, relaxed)
data_NdTlI4
_chemical_formula_sum 'Nd2 Tl2 I8'
_cell_length_a 7.713
_cell_length_b 9.100
_cell_length_c 9.207
_cell_angle_alpha 113.49
_cell_angle_beta 107.82
_cell_angle_gamma 103.20
_space_group_name_H-M_alt 'P 1'
_space_group_IT_number 1
loop_
_space_group_symop_operation_xyz
'x,y,z'
loop_
_atom_site_label
_atom_site_type_symbol
_atom_site_fract_x
_atom_site_fract_y
_atom_site_fract_z
Nd1 Nd 0.249 0.999 0.999
Nd2 Nd 0.751 0.001 0.001
I1 I 0.632 0.055 0.328
I2 I 0.196 0.273 0.328
I3 I 0.804 0.727 0.672
I4 I 0.990 0.783 0.129
I5 I 0.361 0.654 0.871
I6 I 0.010 0.217 0.871
I7 I 0.368 0.945 0.672
I8 I 0.639 0.346 0.129
Tl1 Tl 0.380 0.630 0.260
Tl2 Tl 0.620 0.370 0.740
# DFT total energy in Ry/atom: -0.2451
# Space-group type: No. 15
# Formation energy (no corrections) in eV per atom: -1.11
# Size of the total moment in μB/f.u.: 0.00


(4)
# NdTlI2 (PBE, relaxed)
data_NdTlI2
_chemical_formula_sum 'Nd1 Tl1 I2'
_cell_length_a 4.029
_cell_length_b 4.029
_cell_length_c 11.729
_cell_angle_alpha 80.11
_cell_angle_beta 80.11
_cell_angle_gamma 60.00
_space_group_name_H-M_alt 'P 1'
_space_group_IT_number 1
loop_
_space_group_symop_operation_xyz
'x,y,z'
loop_
_atom_site_label
_atom_site_type_symbol
_atom_site_fract_x
_atom_site_fract_y
_atom_site_fract_z
I1 I 0.897 0.897 0.310
I2 I 0.103 0.103 0.690
Nd1 Nd 0.500 0.500 0.500
Tl1 Tl 0.000 0.000 0.000
# DFT total energy in Ry/atom: -0.2495
# Space-group type: No. 166
# Formation energy (no corrections) in eV per atom: -0.84
# Size of the total moment in μB/f.u.: 0.00


(5)
# Nd3Tl2I2 (PBE, relaxed)
data_Nd3Tl2I2
_chemical_formula_sum 'Nd3 Tl2 I2'
_cell_length_a 4.586
_cell_length_b 6.147
_cell_length_c 9.757
_cell_angle_alpha 106.54
_cell_angle_beta 90.09
_cell_angle_gamma 111.91
_space_group_name_H-M_alt 'P 1'
_space_group_IT_number 1
loop_
_space_group_symop_operation_xyz
'x,y,z'
loop_
_atom_site_label
_atom_site_type_symbol
_atom_site_fract_x
_atom_site_fract_y
_atom_site_fract_z
I1 I 0.103 0.204 0.358
I2 I 0.897 0.796 0.642
Tl1 Tl 0.335 0.669 0.078
Tl2 Tl 0.665 0.331 0.922
Nd1 Nd 0.789 0.577 0.282
Nd2 Nd 0.211 0.423 0.718
Nd3 Nd 0.000 0.000 0.000
# DFT total energy in Ry/atom: -0.2795
# Space-group type: No. 2
# Formation energy (no corrections) in eV per atom: -0.64
# Size of the total moment in μB/f.u.: 0.00


(6)
# NdTlI4 (PBE, relaxed)
data_NdTlI4
_chemical_formula_sum 'Nd1 Tl1 I4'
_cell_length_a 4.662
_cell_length_b 7.947
_cell_length_c 8.767
_cell_angle_alpha 100.40
_cell_angle_beta 89.99
_cell_angle_gamma 107.24
_space_group_name_H-M_alt 'P 1'
_space_group_IT_number 1
loop_
_space_group_symop_operation_xyz
'x,y,z'
loop_
_atom_site_label
_atom_site_type_symbol
_atom_site_fract_x
_atom_site_fract_y
_atom_site_fract_z
Nd1 Nd 0.000 0.000 0.000
Tl1 Tl 0.500 0.000 0.500
I1 I 0.878 0.758 0.675
I2 I 0.620 0.238 0.895
I3 I 0.380 0.762 0.105
I4 I 0.122 0.242 0.325
# DFT total energy in Ry/atom: -0.2483
# Space-group type: No. 2
# Formation energy (no corrections) in eV per atom: -1.16
# Size of the total moment in μB/f.u.: 0.00


Please write out number 4 again, unchanged.
# NdTlI2 (PBE, relaxed)
data_NdTlI2
_chemical_formula_sum 'Nd1 Tl1 I2'
_cell_length_a 4.029
_cell_length_b 4.029
_cell_length_c 11.729
_cell_angle_alpha 80.11
_cell_angle_beta 80.11
_cell_angle_gamma 60.00
_space_group_name_H-M_alt 'P 1'
_space_group_IT_number 1
loop_
_space_group_symop_operation_xyz
'x,y,z'
loop_
_atom_site_label
_atom_site_type_symbol
_atom_site_fract_x
_atom_site_fract_y
_atom_site_fract_z
I1 I 0.897 0.897 0.310
I2 I 0.103 0.103 0.690
Nd1 Nd 0.500 0.500 0.500
Tl1 Tl 0.000 0.000 0.000
# DFT total energy in Ry/atom: -0.2495
# Space-group type: No. 166
# Formation energy (no corrections) in eV per atom: -0.84
# Size of the total moment in μB/f.u.: 0.00